Material: Ac3Sm5Se12
Method: DFT, PBE
State: relaxed

a b c (Å): 15.1794 15.1794 15.1794
angles (deg): 109.47 109.47 109.47
Positions (direct):
Ac1 0.1250 0.2500 0.3750
Ac2 0.1250 0.3750 0.7500
Ac3 0.2500 0.3750 0.1250
Ac4 0.2500 0.8750 0.6250
Ac5 0.3750 0.1250 0.2500
Ac6 0.3750 0.7500 0.1250
Ac7 0.6250 0.2500 0.8750
Ac8 0.6250 0.8750 0.7500
Ac9 0.7500 0.1250 0.3750
Ac10 0.7500 0.6250 0.8750
Ac11 0.8750 0.6250 0.2500
Ac12 0.8750 0.7500 0.6250
Sm1 0.0000 0.0000 0.0000
Sm2 0.0000 0.0000 0.5000
Sm3 0.0000 0.5000 0.0000
Sm4 0.0000 0.5000 0.5000
Sm5 0.1250 0.7500 0.8750
Sm6 0.1250 0.8750 0.2500
Sm7 0.2500 0.1250 0.8750
Sm8 0.2500 0.6250 0.3750
Sm9 0.3750 0.2500 0.6250
Sm10 0.3750 0.6250 0.7500
Sm11 0.5000 0.0000 0.0000
Sm12 0.5000 0.0000 0.5000
Sm13 0.5000 0.5000 0.0000
Sm14 0.5000 0.5000 0.5000
Sm15 0.6250 0.3750 0.2500
Sm16 0.6250 0.7500 0.3750
Sm17 0.7500 0.3750 0.6250
Sm18 0.7500 0.8750 0.1250
Sm19 0.8750 0.1250 0.7500
Sm20 0.8750 0.2500 0.1250
Se1 0.0442 0.2184 0.1293
Se2 0.0442 0.3257 0.9149
Se3 0.0851 0.6293 0.4108
Se4 0.0851 0.9558 0.6743
Se5 0.0892 0.7184 0.6743
Se6 0.0892 0.8707 0.4149
Se7 0.1293 0.0442 0.2184
Se8 0.1293 0.5851 0.9108
Se9 0.1743 0.2184 0.5892
Se10 0.1743 0.4558 0.5851
Se11 0.2184 0.1293 0.0442
Se12 0.2184 0.5892 0.1743
Se13 0.2816 0.3257 0.9108
Se14 0.2816 0.4558 0.3707
Se15 0.3257 0.9108 0.2816
Se16 0.3257 0.9149 0.0442
Se17 0.3707 0.2816 0.4558
Se18 0.3707 0.5892 0.9149
Se19 0.4108 0.0851 0.6293
Se20 0.4108 0.8257 0.7816
Se21 0.4149 0.0892 0.8707
Se22 0.4149 0.8257 0.5442
Se23 0.4558 0.3707 0.2816
Se24 0.4558 0.5851 0.1743
Se25 0.5442 0.4149 0.8257
Se26 0.5442 0.6293 0.7184
Se27 0.5851 0.1743 0.4558
Se28 0.5851 0.9108 0.1293
Se29 0.5892 0.1743 0.2184
Se30 0.5892 0.9149 0.3707
Se31 0.6293 0.4108 0.0851
Se32 0.6293 0.7184 0.5442
Se33 0.6743 0.0851 0.9558
Se34 0.6743 0.0892 0.7184
Se35 0.7184 0.5442 0.6293
Se36 0.7184 0.6743 0.0892
Se37 0.7816 0.4108 0.8257
Se38 0.7816 0.8707 0.9558
Se39 0.8257 0.5442 0.4149
Se40 0.8257 0.7816 0.4108
Se41 0.8707 0.4149 0.0892
Se42 0.8707 0.9558 0.7816
Se43 0.9108 0.1293 0.5851
Se44 0.9108 0.2816 0.3257
Se45 0.9149 0.0442 0.3257
Se46 0.9149 0.3707 0.5892
Se47 0.9558 0.6743 0.0851
Se48 0.9558 0.7816 0.8707

Results
Density of states at the Fermi level: 0.00 states/eV/cell
Uncorrected energy: -456.2 eV/cell

***

Material: Nb2Sn2H
Method: DFT, PBE
State: relaxed

a b c (Å): 6.0643 6.0643 4.8222
angles (deg): 90.00 90.00 90.00
Positions (direct):
Nb1 0.1562 0.3438 0.0000
Nb2 0.3438 0.8438 0.0000
Nb3 0.6562 0.1562 0.0000
Nb4 0.8438 0.6562 0.0000
Sn1 0.1710 0.6710 0.5000
Sn2 0.3290 0.1710 0.5000
Sn3 0.6710 0.8290 0.5000
Sn4 0.8290 0.3290 0.5000
H1 0.0000 0.0000 0.0000
H2 0.5000 0.5000 0.0000

Results
Density of states at the Fermi level: 7.51 states/eV/cell
Uncorrected energy: -61.7 eV/cell

***

Material: Na3SrMg
Method: DFT, PBE
State: relaxed

a b c (Å): 6.9323 6.9323 6.9323
angles (deg): 90.00 90.00 90.00
Positions (direct):
Na1 0.0000 0.0000 0.5000
Na2 0.0000 0.5000 0.0000
Na3 0.5000 0.0000 0.0000
Sr1 0.0000 0.0000 0.0000
Mg1 0.5000 0.5000 0.5000

Results
Density of states at the Fermi level: 5.66 states/eV/cell
Energy relative to the elements: 0.72 eV per atom
Relative energy among the computed polymorphs: 479 meV per atom

***

Material: MgTi2SiPd
Method: DFT, PBE
State: relaxed

a b c (Å): 4.7103 4.7103 4.4435
angles (deg): 90.00 90.00 90.00
Positions (direct):
Mg1 0.0000 0.0000 0.0000
Ti1 0.0000 0.5000 0.0000
Ti2 0.5000 0.0000 0.0000
Si1 0.5000 0.5000 0.5000
Pd1 0.0000 0.0000 0.5000

Results
Density of states at the Fermi level: 4.24 states/eV/cell
Uncorrected energy: -22.9 eV/cell

***

Material: YMn2BS
Method: DFT, PBE
State: relaxed

a b c (Å): 3.8783 3.8783 4.8959
angles (deg): 90.00 90.00 90.00
Positions (direct):
Y1 0.0000 0.0000 0.0000
Mn1 0.0000 0.5000 0.5000
Mn2 0.5000 0.0000 0.5000
B1 0.5000 0.5000 0.5000
S1 0.5000 0.5000 0.0000

Results
Density of states at the Fermi level: 6.81 states/eV/cell
Uncorrected energy: -34.4 eV/cell

***

Material: KHg7H5
Method: DFT, PBE
State: relaxed

a b c (Å): 6.4666 6.5249 7.3999
angles (deg): 87.71 82.35 78.45
Positions (direct):
K1 0.0000 0.0000 0.0000
Hg1 0.0432 0.4845 0.2572
Hg2 0.2824 0.6652 0.5458
Hg3 0.4791 0.9124 0.2303
Hg4 0.5100 0.0301 0.7854
Hg5 0.5384 0.4834 0.0192
Hg6 0.6254 0.2643 0.4161
Hg7 0.9046 0.4536 0.6941
H1 0.1683 0.2320 0.2487
H2 0.2811 0.2122 0.8050
H3 0.3498 0.7805 0.7692
H4 0.7617 0.8902 0.7577
H5 0.8922 0.7263 0.2453

Results
Density of states at the Fermi level: 0.73 states/eV/cell
Uncorrected energy: -18.4 eV/cell

***

Material: SiAuN2O
Method: DFT, PBE
State: relaxed

a b c (Å): 3.8102 3.8102 3.3986
angles (deg): 90.00 90.00 90.00
Positions (direct):
Si1 0.0000 0.0000 0.0000
Au1 0.5000 0.5000 0.5000
N1 0.0000 0.5000 0.0000
N2 0.5000 0.0000 0.0000
O1 0.0000 0.0000 0.5000

Results
Density of states at the Fermi level: 4.19 states/eV/cell
Uncorrected energy: -28.3 eV/cell

***

Material: LiMg2Co
Method: DFT, PBE
State: relaxed

a b c (Å): 9.8858 2.9012 4.7517
angles (deg): 90.00 107.31 90.00
Positions (direct):
Li1 0.0000 0.0000 0.0000
Li2 0.5000 0.5000 0.0000
Mg1 0.2323 0.0000 0.8026
Mg2 0.4529 0.0000 0.4504
Mg3 0.7323 0.5000 0.8026
Mg4 0.9529 0.5000 0.4504
Co1 0.2159 0.5000 0.2998
Co2 0.7159 0.0000 0.2998

Results
Density of states at the Fermi level: 5.76 states/eV/cell
Energy relative to the elements: 0.13 eV per atom

***

Material: LuPbAu
Method: DFT, PBE
State: relaxed

a b c (Å): 3.5498 3.5498 11.8319
angles (deg): 90.00 90.00 90.00
Positions (direct):
Lu1 0.0000 0.0000 0.0000
Lu2 0.5000 0.5000 0.5000
Pb1 0.0000 0.0000 0.6988
Pb2 0.5000 0.5000 0.1988
Au1 0.0000 0.0000 0.3761
Au2 0.5000 0.5000 0.8761

Results
Density of states at the Fermi level: 2.31 states/eV/cell
Energy relative to the elements: -0.50 eV per atom

***

Material: DyY6Tm12
Method: DFT, PBE
State: relaxed

a b c (Å): 8.4699 8.4699 8.4699
angles (deg): 92.47 92.47 92.47
Positions (direct):
Dy1 0.0000 0.0000 0.0000
Y1 0.1267 0.2760 0.7416
Y2 0.2584 0.8733 0.7240
Y3 0.2760 0.7416 0.1267
Y4 0.7240 0.2584 0.8733
Y5 0.7416 0.1267 0.2760
Y6 0.8733 0.7240 0.2584
Tm1 0.0663 0.3768 0.1407
Tm2 0.1407 0.0663 0.3768
Tm3 0.2108 0.5308 0.4722
Tm4 0.3768 0.1407 0.0663
Tm5 0.4692 0.5278 0.7892
Tm6 0.4722 0.2108 0.5308
Tm7 0.5278 0.7892 0.4692
Tm8 0.5308 0.4722 0.2108
Tm9 0.6232 0.8593 0.9337
Tm10 0.7892 0.4692 0.5278
Tm11 0.8593 0.9337 0.6232
Tm12 0.9337 0.6232 0.8593

Results
Density of states at the Fermi level: 40.63 states/eV/cell
Energy relative to the elements: 0.19 eV per atom
Relative energy among the computed polymorphs: 0 meV per atom

***

- density of states at the Fermi level of number 8 (LiMg2Co)?
  5.76 states/eV/cell